The following is a GGA-PBEsol calculation of ZnSi2Cl after structural relaxation, from Alexandria.

Results
SG   Imm2 (44)
Formation energy (no corrections)   0.873 eV/f.u.
Distance to the lowest polymorph of the same formula   0 meV per atom

The structure in POSCAR format:
```
ZnSi2Cl
1.0
2.833 0.000 0.000
0.000 4.449 0.000
-1.416 -2.224 5.365
Cl Si Zn
1 2 1
direct
0.255 0.755 0.510
0.040 0.040 0.081
0.740 0.240 0.480
0.465 0.465 0.929
```

---

The following is a GGA-PBEsol calculation of MgTl after structural relaxation, from Alexandria.

Results
SG   P-6m2 (187)
Formation energy   -0.0590 eV per atom

The structure in POSCAR format:
```
MgTl
1.0
3.424 0.000 0.000
-1.712 2.965 0.000
0.000 0.000 4.813
Tl Mg
1 1
direct
0.333 0.667 0.500
0.000 0.000 0.000
```

---

The following is a GGA-PBEsol calculation of Zr3ScH after structural relaxation, from Alexandria.

Results
SG   Pm-3m (221)
E_tot   -7.578 eV per atom

The structure in POSCAR format:
```
Zr3ScH
1.0
4.483 0.000 0.000
0.000 4.483 0.000
0.000 0.000 4.483
Sc H Zr
1 1 3
direct
0.500 0.500 0.500
0.000 0.000 0.000
0.000 0.500 0.000
0.000 0.000 0.500
0.500 0.000 0.000
```

---

The following is a GGA-PBEsol calculation of TaNbReH2 after structural relaxation, from Alexandria.

Results
SG   P4/mmm (123)
E_tot   -7.622 eV per atom

The structure in POSCAR format:
```
TaNbReH2
1.0
-1.406 -3.260 -0.920
2.756 -1.680 1.743
-2.685 -0.031 4.216
Re Nb H Ta
1 1 2 1
direct
0.000 0.000 0.000
0.500 0.500 0.500
0.000 0.500 0.000
0.500 0.000 0.000
0.000 0.000 0.500
```

---

The following is a GGA-PBEsol calculation of Be2TlP2 after structural relaxation, from Alexandria.

Results
SG   I4/mmm (139)
Formation energy   -0.0994 eV per atom

The structure in POSCAR format:
```
Be2TlP2
1.0
-2.783 -1.468 -1.477
2.075 -1.751 -2.170
0.693 -3.560 6.320
P Tl Be
2 1 2
direct
0.347 0.347 0.695
0.653 0.653 0.305
0.000 0.000 0.000
0.250 0.750 0.500
0.750 0.250 0.500
```

---

The following is a GGA-PBEsol calculation of ScIr2 after structural relaxation, from Alexandria.

Results
SG   Fd-3m (227)
Formation energy   -0.7281 eV per atom

The structure in POSCAR format:
```
ScIr2
1.0
5.178 0.000 0.000
2.589 4.484 0.000
2.589 1.495 4.228
Sc Ir
2 4
direct
0.000 0.000 0.000
0.250 0.250 0.250
0.125 0.625 0.625
0.625 0.625 0.625
0.625 0.625 0.125
0.625 0.125 0.625
```

---

The following is a GGA-PBEsol calculation of TiFeP after structural relaxation, from Alexandria.

Results
SG   P-62m (189)
Formation energy   -1.1407 eV per atom

The structure in POSCAR format:
```
TiFeP
1.0
-1.957 2.861 0.704
-2.964 -3.036 4.099
4.876 2.972 1.482
P Fe Ti
3 3 3
direct
0.000 0.667 0.333
0.000 0.333 0.667
0.500 0.000 0.000
0.000 0.000 0.757
0.000 0.243 0.243
0.000 0.757 0.000
0.500 0.420 0.000
0.500 0.580 0.580
0.500 0.000 0.420
```

---

The following is a GGA-PBEsol calculation of Li2ScP2HO8 after structural relaxation, from Alexandria.

Results
SG   P2_1 (4)
E_tot   -7.312 eV per atom

The structure in POSCAR format:
```
Li2ScP2HO8
1.0
4.845 -0.015 0.000
-1.873 7.431 0.000
0.000 0.000 8.182
Li Sc P H O
4 2 4 2 16
direct
0.631 0.090 0.366
0.135 0.588 0.138
0.865 0.412 0.638
0.369 0.910 0.866
0.251 0.750 0.502
0.749 0.250 0.002
0.109 0.978 0.154
0.610 0.476 0.352
0.390 0.524 0.852
0.891 0.022 0.654
0.757 0.752 0.007
0.243 0.248 0.507
0.884 0.086 0.180
0.385 0.585 0.326
0.615 0.415 0.826
0.116 0.914 0.680
0.980 0.794 0.067
0.486 0.295 0.442
0.514 0.705 0.942
0.020 0.206 0.567
0.234 0.933 0.317
0.734 0.432 0.187
0.266 0.568 0.687
0.766 0.067 0.817
0.350 0.083 0.043
0.853 0.585 0.460
0.147 0.415 0.960
0.650 0.917 0.543
```

---

The following is a GGA-PBEsol calculation of MgRhAu2S after structural relaxation, from Alexandria.

Results
SG   P4/mmm (123)
Formation energy (no corrections)   4.343 eV/f.u.

The structure in POSCAR format:
```
MgRhAu2S
1.0
4.761 0.000 0.000
0.000 4.877 0.000
0.000 0.000 4.877
Rh S Au Mg
1 1 2 1
direct
0.000 0.000 0.000
0.500 0.500 0.500
0.000 0.000 0.500
0.000 0.500 0.000
0.500 0.000 0.000
```

---

The following is a GGA-PBEsol calculation of TcPb3 after structural relaxation, from Alexandria.

Results
SG   Pm-3m (221)
Formation energy   0.7965 eV per atom
Distance to the lowest polymorph of the same formula   365 meV per atom

The structure in POSCAR format:
```
TcPb3
1.0
-0.129 4.615 0.053
-1.903 -0.005 -4.207
-4.205 -0.140 1.903
Pb Tc
3 1
direct
0.000 0.500 0.500
0.500 0.000 0.500
0.500 0.500 0.000
0.000 0.000 0.000
```

---

The following is a GGA-PBEsol calculation of Tl2HgAu after structural relaxation, from Alexandria.

Results
SG   R-3m (166)
Formation energy   0.0326 eV per atom
Distance to the lowest polymorph of the same formula   24 meV per atom

The structure in POSCAR format:
```
Tl2HgAu
1.0
-2.235 -2.874 1.921
-1.970 -2.878 -2.187
4.375 -6.157 0.288
Tl Au Hg
2 1 1
direct
0.242 0.242 0.275
0.758 0.758 0.725
0.500 0.500 0.500
0.000 0.000 0.000
```

---

The following is a GGA-PBEsol calculation of Mg3FeB after structural relaxation, from Alexandria.

Results
SG   Pm-3m (221)
Formation energy   0.6691 eV per atom

The structure in POSCAR format:
```
Mg3FeB
1.0
4.457 0.000 0.000
0.000 4.457 0.000
0.000 0.000 4.457
Mg B Fe
3 1 1
direct
0.000 0.500 0.000
0.000 0.000 0.500
0.500 0.000 0.000
0.000 0.000 0.000
0.500 0.500 0.500
```